## Nd2PuRu3 (PBE)

Data for a relaxed Nd2PuRu3 crystal.

Offset from the most stable computed form: 0.000 eV/atom
ΔH_f (0 K): -0.261 eV/atom
N(E_F): 1.067 states/eV/atom
SG: No. 194

```
data_Nd2PuRu3
_chemical_formula_sum 'Nd4 Pu2 Ru6'
_symmetry_space_group_name_H-M 'P 1'
_symmetry_Int_Tables_number 1
_symmetry_space_group_name_Hall 'P 1'
_cell_length_a 5.8888
_cell_length_b 5.8888
_cell_length_c 8.1462
_cell_angle_alpha 90.00
_cell_angle_beta 90.00
_cell_angle_gamma 120.00
loop_
_atom_site_label
_atom_site_type_symbol
_atom_site_fract_x
_atom_site_fract_y
_atom_site_fract_z
Nd1 Nd 0.3333 0.6667 0.0617
Nd2 Nd 0.3333 0.6667 0.4383
Nd3 Nd 0.6667 0.3333 0.5617
Nd4 Nd 0.6667 0.3333 0.9383
Pu1 Pu 0.0000 0.0000 0.0000
Pu2 Pu 0.0000 0.0000 0.5000
Ru1 Ru 0.1662 0.3324 0.7500
Ru2 Ru 0.1662 0.8338 0.7500
Ru3 Ru 0.3324 0.1662 0.2500
Ru4 Ru 0.6676 0.8338 0.7500
Ru5 Ru 0.8338 0.1662 0.2500
Ru6 Ru 0.8338 0.6676 0.2500
```